Record 1
! Li8TeAs2 (PBE, relaxed); values from VASP
! - symmetry = Immm (71)
&SYSTEM
  ibrav = 0, nat = 11, ntyp = 3
/
ATOMIC_SPECIES
As 74.92 As.upf
Li 6.94 Li.upf
Te 127.60 Te.upf
ATOMIC_POSITIONS angstrom
As 1.3487 0.5638 4.5544
As -1.1658 -2.4928 2.8571
Li -3.3694 -2.6467 1.3271
Li -1.0534 0.0666 3.3874
Li -3.2114 -1.6304 4.2400
Li -1.0027 -1.3387 5.5647
Li 1.1857 -0.5904 1.8468
Li 3.5523 0.7177 6.0844
Li 3.3944 -0.2987 3.1715
Li 1.2364 -1.9956 4.0242
Te -0.8773 1.6663 1.0959
CELL_PARAMETERS angstrom
-1.7546 3.3326 2.1918
-4.7984 -3.7687 1.8891
6.7360 -1.4930 3.3307

Record 2
! LiTe2As (PBE, relaxed); values from VASP
! - symmetry = I4/mmm (139)
&SYSTEM
  ibrav = 0, nat = 4, ntyp = 3
/
ATOMIC_SPECIES
Te 127.60 Te.upf
Li 6.94 Li.upf
As 74.92 As.upf
ATOMIC_POSITIONS angstrom
Te 0.0000 0.0000 0.0000
Te -2.9015 -1.3864 -1.8783
Li -2.7190 -0.9942 1.2422
As -0.4869 -3.0324 -0.7015
CELL_PARAMETERS angstrom
-5.1336 0.6517 0.0654
-0.6694 -3.4246 -3.8219
2.5971 -1.2537 4.2973

Record 3
! Li5Te6As (PBE, relaxed); values from VASP
! - symmetry = C2/m (12)
&SYSTEM
  ibrav = 0, nat = 12, ntyp = 3
/
ATOMIC_SPECIES
As 74.92 As.upf
Te 127.60 Te.upf
Li 6.94 Li.upf
ATOMIC_POSITIONS angstrom
As 0.0000 0.0000 0.0000
Te 6.1005 5.9587 3.9128
Te 5.4408 6.2489 0.0000
Te 2.5620 6.0813 2.1387
Te 5.2440 2.0057 2.1387
Te 3.4185 10.0343 3.9128
Te 2.3652 1.8381 0.0000
Li 0.8565 3.9530 1.5510
Li 1.7130 7.9060 4.5005
Li 4.7595 7.9965 2.2174
Li 3.9030 4.0435 0.0000
Li 3.9030 4.0435 3.8341
CELL_PARAMETERS angstrom
6.0930 0.1810 0.0000
1.7130 7.9060 0.0000
0.8565 3.9530 6.0515

Record 4
! Li2Te2As (PBE, relaxed); values from VASP
! - symmetry = P4/mbm (127)
&SYSTEM
  ibrav = 0, nat = 10, ntyp = 3
/
ATOMIC_SPECIES
Li 6.94 Li.upf
Te 127.60 Te.upf
As 74.92 As.upf
ATOMIC_POSITIONS angstrom
Li 0.1770 -5.0358 2.0383
Li -4.8815 -3.0971 5.2057
Li -1.5288 -1.0823 3.1106
Li -3.1757 -7.0506 4.1334
Te -2.0782 -6.6076 1.2918
Te -5.4782 -5.5327 3.4204
Te -1.1647 -2.5962 0.7254
Te -4.5647 -1.5214 2.8540
As 0.0000 0.0000 0.0000
As -3.3214 -4.0645 2.0729
CELL_PARAMETERS angstrom
-6.7649 -0.1493 4.2322
0.1220 -7.9797 -0.0864
1.9384 -0.0039 3.0982

Here are the calculated density numbers, same order: 3.00, 5.82, 5.02, 4.91 (g/cm3).
Here are the calculated VASP energy numbers, same order: -0.2423, -0.2345, -0.2400, -0.2462 (Ry per atom).
Here are the calculated raw formation energy numbers, same order: -0.7743, 0.0212, -0.5101, -0.3977 (eV per atom).